The following is a PBE-GGA calculation of crystalline La6Y2Er at its relaxed geometry, from the Alexandria database.

Structure (POSCAR):
```
La6Y2Er
1.0
3.6643 0.0000 0.0000
-1.8322 3.1734 0.0000
0.0000 0.0000 27.6132
La Y Er
6 2 1
direct
0.0000 0.0000 0.0659 La
0.0000 0.0000 0.2787 La
0.0000 0.0000 0.7213 La
0.0000 0.0000 0.9341 La
0.3333 0.6667 0.3953 La
0.3333 0.6667 0.6047 La
0.3333 0.6667 0.1712 Y
0.3333 0.6667 0.8288 Y
0.0000 0.0000 0.5000 Er
```

Output
DFT total energy ... -5.17 eV/atom
Space group ... No. 187
Magnetization ... 0.0 μB/cell
ρ ... 6.09 g/cm3
ΔE to the lowest computed polymorph ... 0.00 eV per formula unit
Calculated volume ... 321.09 Å³/f.u.